Entry from Alexandria: an optimized crystal structure of Pm6Tl6Ir (PBE).

space-group type = Cmmm, No. 65
electronic total energy = -4.077 eV/atom
E_form = -110 meV per atom

POSCAR file:
```
Pm6Tl6Ir
1.0
3.2830 -5.6980 0.0000
3.2830 5.6980 0.0000
0.0000 0.0000 10.7629
Pm Tl Ir
6 6 1
Cartesian
0.0000 0.0000 2.6290
0.0000 0.0000 8.1339
3.2830 1.8979 5.3814
3.2830 1.8941 0.0000
3.2830 -1.8941 0.0000
3.2830 -1.8979 5.3814
1.6415 2.8490 2.7406
1.6415 2.8490 8.0223
1.6415 -2.8490 2.7406
1.6415 -2.8490 8.0223
3.2830 0.0000 2.7429
3.2830 0.0000 8.0200
0.0000 0.0000 0.0000
```